Sr2ZrCo2O6, relaxed, DFT PBE with a Hubbard U; volume = 15.13 Å³ per atom; space group = R-3m (166); total DFT energy (no corrections) = -6.8351 eV per atom
1.0
5.977 0.000 0.000
2.989 5.176 0.000
2.989 1.725 5.378
Co Zr O Sr
2 1 6 2
direct
0.570 0.570 0.291
0.430 0.430 0.709
0.000 0.000 0.000
0.240 0.773 0.746
0.227 0.760 0.254
0.240 0.240 0.746
0.760 0.227 0.254
0.760 0.760 0.254
0.773 0.240 0.746
0.788 0.788 0.635
0.212 0.212 0.365